(1)
The following is a PBE calculation of KMn2Se after structural relaxation, from Alexandria.

a = 3.9077 Å, b = 3.9877 Å, c = 6.9592 Å
α = 90.00°, β = 100.15°, γ = 90.00°
Space group Pm (No. 6)
Unique sites:
1 K 0.0000 0.0000 0.0000 [1 per cell]
2 Mn 0.3451 0.0000 0.4984 [1 per cell]
3 Mn 0.8322 0.5000 0.4649 [1 per cell]
4 Se 0.4172 0.5000 0.7370 [1 per cell]

- DOS(E_F): 4.2 states/eV per cell
- Total magnetization: 2.2411 μB per atom
- Formation energy without anion corrections: 0.13 eV/atom

(2)
The following is a PBE calculation of KMn2Se after structural relaxation, from Alexandria.

a = 6.1161 Å, b = 11.6087 Å, c = 2.9440 Å
α = 90.00°, β = 118.32°, γ = 90.00°
Space group C2/m (No. 12)
Unique sites:
1 K 0.0000 0.0000 0.0000 [2 per cell]
2 Mn 0.2500 0.2500 0.0000 [4 per cell]
3 Se 0.0000 0.5000 0.0000 [2 per cell]

- DOS(E_F): 5.8 states/eV per cell
- Total magnetization: 2.1981 μB per atom
- Formation energy without anion corrections: 0.54 eV/atom

(3)
The following is a PBE calculation of KMnSe2 after structural relaxation, from Alexandria.

a = 4.1999 Å, b = 4.1999 Å, c = 10.7878 Å
α = 90.00°, β = 90.00°, γ = 90.00°
Space group I-4m2 (No. 119)
Unique sites:
1 K 0.0000 0.0000 0.0000 [2 per cell]
2 Mn 0.0000 0.5000 0.7500 [2 per cell]
3 Se 0.0000 0.0000 0.5000 [2 per cell]
4 Se 0.0000 0.5000 0.2500 [2 per cell]

- DOS(E_F): 5.4 states/eV per cell
- Total magnetization: 1.1223 μB per atom
- Formation energy without anion corrections: -0.05 eV/atom

(4)
The following is a PBE calculation of K2MnSe after structural relaxation, from Alexandria.

a = 12.7207 Å, b = 5.2232 Å, c = 4.2777 Å
α = 90.00°, β = 90.07°, γ = 90.00°
Space group Cm (No. 8)
Unique sites:
1 K 0.0000 0.0000 0.0000 [2 per cell]
2 K 0.2065 0.5000 0.4974 [2 per cell]
3 Mn 0.3126 0.0000 0.9975 [2 per cell]
4 Se 0.4261 0.0000 0.4981 [2 per cell]

- DOS(E_F): 1.4 states/eV per cell
- Total magnetization: 1.2508 μB per atom
- Formation energy without anion corrections: -0.23 eV/atom

(5)
The following is a PBE calculation of KMn2Se after structural relaxation, from Alexandria.

a = 4.4142 Å, b = 5.0937 Å, c = 5.3227 Å
α = 90.00°, β = 90.00°, γ = 90.00°
Space group Pmmm (No. 47)
Unique sites:
1 K 0.0000 0.0000 0.0000 [1 per cell]
2 Mn 0.5000 0.5000 0.2508 [2 per cell]
3 Se 0.0000 0.5000 0.5000 [1 per cell]

- DOS(E_F): 2.9 states/eV per cell
- Total magnetization: 2.1592 μB per atom
- Formation energy without anion corrections: 0.30 eV/atom

(6)
The following is a PBE calculation of KMnSe2 after structural relaxation, from Alexandria.

a = 3.4621 Å, b = 3.7322 Å, c = 15.4966 Å
α = 90.00°, β = 90.00°, γ = 90.00°
Space group Imm2 (No. 44)
Unique sites:
1 K 0.0000 0.0000 0.0000 [2 per cell]
2 Mn 0.0000 0.5000 0.7509 [2 per cell]
3 Se 0.0000 0.0000 0.3682 [2 per cell]
4 Se 0.0000 0.5000 0.1783 [2 per cell]

- DOS(E_F): 3.4 states/eV per cell
- Total magnetization: 1.0075 μB per atom
- Formation energy without anion corrections: -0.55 eV/atom

(7)
The following is a PBE calculation of KMnSe2 after structural relaxation, from Alexandria.

a = 3.9226 Å, b = 3.9226 Å, c = 12.9382 Å
α = 90.00°, β = 90.00°, γ = 90.00°
Space group I-4m2 (No. 119)
Unique sites:
1 K 0.0000 0.0000 0.0000 [2 per cell]
2 Mn 0.0000 0.5000 0.2500 [2 per cell]
3 Se 0.0000 0.0000 0.3417 [4 per cell]

- DOS(E_F): 7.6 states/eV per cell
- Total magnetization: 0.0004 μB per atom
- Formation energy without anion corrections: -0.49 eV/atom

(8)
The following is a PBE calculation of K2MnSe after structural relaxation, from Alexandria.

a = 3.7762 Å, b = 3.7762 Å, c = 10.1005 Å
α = 90.00°, β = 90.00°, γ = 90.00°
Space group P4mm (No. 99)
Unique sites:
1 K 0.0000 0.0000 0.0000 [1 per cell]
2 K 0.5000 0.5000 0.3967 [1 per cell]
3 Mn 0.0000 0.0000 0.6779 [1 per cell]
4 Se 0.5000 0.5000 0.7256 [1 per cell]

- DOS(E_F): 1.9 states/eV per cell
- Total magnetization: 1.0273 μB per atom
- Formation energy without anion corrections: -0.09 eV/atom

(9)
The following is a PBE calculation of K6MnSe4 after structural relaxation, from Alexandria.

a = 10.3127 Å, b = 10.3127 Å, c = 8.0222 Å
α = 90.00°, β = 90.00°, γ = 120.00°
Space group P6_3mc (No. 186)
Unique sites:
1 K 0.0572 0.5286 0.0000 [6 per cell]
2 K 0.1468 0.2937 0.6767 [6 per cell]
3 Mn 0.3333 0.6667 0.3847 [2 per cell]
4 Se 0.1956 0.3911 0.2848 [6 per cell]
5 Se 0.3333 0.6667 0.7068 [2 per cell]

- Total magnetization: 0.4545 μB per atom
- Formation energy without anion corrections: -1.05 eV/atom

(10)
The following is a PBE calculation of KMnSe2 after structural relaxation, from Alexandria.

a = 3.8732 Å, b = 3.8732 Å, c = 22.8755 Å
α = 90.00°, β = 90.00°, γ = 120.00°
Space group R3m (No. 160, hexagonal axes)
Unique sites:
1 K 0.0000 0.0000 0.0000 [3 per cell]
2 Mn 0.0000 0.0000 0.1677 [3 per cell]
3 Se 0.0000 0.0000 0.5608 [3 per cell]
4 Se 0.0000 0.0000 0.7736 [3 per cell]

- DOS(E_F): 7.9 states/eV per cell
- Total magnetization: 1.0000 μB per atom
- Formation energy without anion corrections: -0.72 eV/atom

(11)
The following is a PBE calculation of K2MnSe after structural relaxation, from Alexandria.

a = 5.3553 Å, b = 5.3553 Å, c = 21.4555 Å
α = 90.00°, β = 90.00°, γ = 90.00°
Space group I-42d (No. 122)
Unique sites:
1 K 0.2163 0.2500 0.1250 [8 per cell]
2 Mn 0.0000 0.0000 0.5000 [4 per cell]
3 Se 0.0000 0.0000 0.0000 [4 per cell]

- DOS(E_F): 0.0 states/eV per cell
- Total magnetization: 1.2500 μB per atom
- Formation energy without anion corrections: 0.26 eV/atom

(12)
The following is a PBE calculation of KMn2Se after structural relaxation, from Alexandria.

a = 5.1929 Å, b = 5.1929 Å, c = 16.6905 Å
α = 90.00°, β = 90.00°, γ = 90.00°
Space group I4_1/amd (No. 141, origin choice 2)
Unique sites:
1 K 0.0000 0.2500 0.3750 [4 per cell]
2 Mn 0.0000 0.0000 0.0000 [8 per cell]
3 Se 0.0000 0.2500 0.8750 [4 per cell]

- DOS(E_F): 18.2 states/eV per cell
- Total magnetization: 1.8057 μB per atom
- Formation energy without anion corrections: 0.31 eV/atom

Question: Which of these has the lowest formation energy without anion corrections?
Answer: K6MnSe4